(1)
Here is a relaxed structure of ThTl2Ga from the Alexandria database. Energies are from PBE.

Computed properties:
As for the energy relative to the lowest polymorph listed for this composition: 0 meV per atom. For the total energy, the calculation gives -4.014 eV/atom. The value obtained for the energy of formation from the pure elements is -0.219 eV/atom.

Lattice parameters (Å, degrees): 4.9455 4.5898 4.5898 90.00 90.00 90.00
Closest atoms and distances in Å follow each position.
Positions (direct):
Tl 0.0000 0.0000 0.5000  4 Tl 3.25, 4 Th 3.37, 4 Ga 3.37
Tl 0.0000 0.5000 0.0000  4 Tl 3.25, 4 Th 3.37, 4 Ga 3.37
Ga 0.5000 0.0000 0.0000  4 Th 3.25, 8 Tl 3.37
Th 0.5000 0.5000 0.5000  4 Ga 3.25, 8 Tl 3.37

(2)
Here is a relaxed structure of ThTlGa from the Alexandria database. Energies are from PBE.

Computed properties:
As for the energy relative to the lowest polymorph listed for this composition: 0 meV per atom. For the total energy, the calculation gives -4.532 eV/atom. The value obtained for the energy of formation from the pure elements is -0.261 eV/atom.

Lattice parameters (Å, degrees): 4.4318 4.5318 4.5318 120.00 90.00 90.00
Closest atoms and distances in Å follow each position.
Positions (direct):
Tl 0.2553 0.3333 0.6667  3 Ga 2.76
Ga 0.0543 0.0000 0.0000  3 Tl 2.76, 3 Th 3.07
Th 0.6904 0.6667 0.3333  3 Ga 3.07, 3 Tl 3.25

(3)
Here is a relaxed structure of YThTlGa from the Alexandria database. Energies are from PBE.

Computed properties:
For the total energy, the calculation gives -5.124 eV/atom. The value obtained for the energy of formation from the pure elements is -0.305 eV/atom.

Lattice parameters (Å, degrees): 5.3260 5.3260 5.3260 60.00 60.00 60.00
Closest atoms and distances in Å follow each position.
Positions (direct):
Y 0.0000 0.0000 0.0000  4 Tl 3.26, 4 Ga 3.26
Tl 0.7500 0.7500 0.7500  4 Y 3.26, 4 Th 3.26
Ga 0.2500 0.2500 0.2500  4 Th 3.26, 4 Y 3.26
Th 0.5000 0.5000 0.5000  4 Ga 3.26, 4 Tl 3.26

(4)
Here is a relaxed structure of Tm4ThGa4 from the Alexandria database. Energies are from PBE.

Computed properties:
For the total energy, the calculation gives -4.429 eV/atom. The value obtained for the energy of formation from the pure elements is -0.272 eV/atom.

Lattice parameters (Å, degrees): 5.8139 9.1542 9.1542 90.00 90.00 90.00
Closest atoms and distances in Å follow each position.
Positions (direct):
Tm 0.3810 0.3298 0.9034  5 Ga 2.90-3.04
Tm 0.8810 0.5966 0.8298  5 Ga 2.90-3.04
Tm 0.3810 0.6702 0.0966  5 Ga 2.90-3.04
Tm 0.1190 0.1702 0.5966  5 Ga 2.90-3.04
Tm 0.6190 0.9034 0.6702  5 Ga 2.90-3.04
Tm 0.1190 0.8298 0.4034  5 Ga 2.90-3.04
Tm 0.8810 0.4034 0.1702  5 Ga 2.90-3.04
Tm 0.6190 0.0966 0.3298  5 Ga 2.90-3.04
Th 0.0000 0.0000 0.0000  4 Ga 2.96
Th 0.5000 0.5000 0.5000  4 Ga 2.96
Ga 0.6235 0.7817 0.3617  1 Ga 2.59
Ga 0.6235 0.2183 0.6383  1 Ga 2.59
Ga 0.1235 0.8617 0.7183  1 Ga 2.59
Ga 0.8765 0.2817 0.8617  1 Ga 2.59
Ga 0.8765 0.7183 0.1383  1 Ga 2.59
Ga 0.3765 0.3617 0.2183  1 Ga 2.59
Ga 0.3765 0.6383 0.7817  1 Ga 2.59
Ga 0.1235 0.1383 0.2817  1 Ga 2.59

- Which of these has the highest energy of formation from the pure elements?
  ThTl2Ga

- Which of these has the highest energy of formation from the pure elements?
  ThTl2Ga

- Number 4 is which compound?
  Tm4ThGa4